(1)
BaP4Pd2 | Alexandria | GGA-PBEsol | optimized geometry; E = -6.022 eV per atom; N(E_F) = 0.27 states/eV/atom
1.0
-3.4010 3.4010 2.9455
3.4010 -3.4010 2.9455
3.4010 3.4010 -2.9455
Ba P Pd
1 4 2
direct
0.0000 0.0000 0.0000
0.2722 0.5000 0.7722
0.5000 0.2722 0.7722
0.5000 0.7278 0.2278
0.7278 0.5000 0.2278
0.2500 0.7500 0.5000
0.7500 0.2500 0.5000

(2)
Cr3NiPb | Alexandria | GGA-PBEsol | optimized geometry; E = -7.028 eV per atom; N(E_F) = 2.38 states/eV/atom
1.0
4.4105 0.0000 0.0000
0.0000 4.4105 0.0000
0.0000 0.0000 4.4105
Cr Ni Pb
3 1 1
direct
0.0000 0.0000 0.5000
0.0000 0.5000 0.0000
0.5000 0.0000 0.0000
0.0000 0.0000 0.0000
0.5000 0.5000 0.5000

(3)
SrAl2Cr | Alexandria | GGA-PBEsol | optimized geometry; E = -4.919 eV per atom; N(E_F) = 0.58 states/eV/atom
1.0
2.2231 1.2835 5.6976
-2.2231 1.2835 5.6976
0.0000 -2.5670 5.6976
Sr Al Cr
1 2 1
direct
0.0000 0.0000 0.0000
0.1921 0.1921 0.1921
0.4765 0.4765 0.4765
0.8118 0.8118 0.8118

(4)
BaZr2Pt | Alexandria | GGA-PBEsol | optimized geometry; N(E_F) = 1.09 states/eV/atom; energy above the most stable polymorph in this dataset = 0.0 meV/atom
1.0
-1.6319 2.7505 5.6033
1.6319 -2.7505 5.6033
1.6319 2.7505 -5.6033
Ba Zr Pt
1 2 1
direct
0.0000 0.0000 0.0000
0.2990 0.7990 0.5000
0.7010 0.2010 0.5000
0.5000 0.5000 0.0000

(5)
Li3GaBr | Alexandria | GGA-PBEsol | optimized geometry; formation energy without anion corrections = -0.3639 eV per atom; N(E_F) = 0.41 states/eV/atom
1.0
4.7743 0.0000 0.0000
0.0000 4.7743 0.0000
0.0000 0.0000 4.7743
Li Ga Br
3 1 1
direct
0.0000 0.0000 0.5000
0.0000 0.5000 0.0000
0.5000 0.0000 0.0000
0.5000 0.5000 0.5000
0.0000 0.0000 0.0000

(6)
CuSbTe2Cl | Alexandria | GGA-PBEsol | optimized geometry; formation energy without anion corrections = 1.0850 eV per atom; N(E_F) = 1.25 states/eV/atom
1.0
5.2200 0.0000 0.0000
0.0000 5.2200 0.0000
0.0000 0.0000 5.2589
Cu Sb Te Cl
1 1 2 1
direct
0.0000 0.0000 0.0000
0.5000 0.5000 0.0000
0.0000 0.5000 0.5000
0.5000 0.0000 0.5000
0.5000 0.5000 0.5000